Entry 1:
An optimized crystal structure of SrLiPrEu. Source: Alexandria via LeMat-Bulk, functional PBE-GGA.

Properties
Its calculated total energy is -4.452 eV per atom. The calculation puts the formation energy at 0.210 eV per atom.

Geometry as CIF:
```
data_SrLiPrEu
_cell_length_a 8.483
_cell_length_b 8.483
_cell_length_c 8.483
_cell_angle_alpha 90.00
_cell_angle_beta 90.00
_cell_angle_gamma 90.00
_symmetry_space_group_name_H-M 'F -4 3 m'
_symmetry_Int_Tables_number 216
_symmetry_space_group_name_Hall 'F -4 2 3'
loop_
_atom_site_label
_atom_site_type_symbol
_atom_site_fract_x
_atom_site_fract_y
_atom_site_fract_z
Sr1 Sr 0.000 0.000 0.000
Li1 Li 0.250 0.250 0.250
Pr1 Pr 0.000 0.000 0.500
Eu1 Eu 0.250 0.250 0.750
```

Entry 2:
An optimized crystal structure of LiPrEuTl. Source: Alexandria via LeMat-Bulk, functional PBE-GGA.

Properties
Its calculated total energy is -5.032 eV per atom. The calculation puts the formation energy at -0.199 eV per atom.

Geometry as CIF:
```
data_LiPrEuTl
_cell_length_a 7.834
_cell_length_b 7.834
_cell_length_c 7.834
_cell_angle_alpha 90.00
_cell_angle_beta 90.00
_cell_angle_gamma 90.00
_symmetry_space_group_name_H-M 'F -4 3 m'
_symmetry_Int_Tables_number 216
_symmetry_space_group_name_Hall 'F -4 2 3'
loop_
_atom_site_label
_atom_site_type_symbol
_atom_site_fract_x
_atom_site_fract_y
_atom_site_fract_z
Li1 Li 0.000 0.000 0.000
Pr1 Pr 0.250 0.250 0.750
Eu1 Eu 0.250 0.250 0.250
Tl1 Tl 0.000 0.000 0.500
```

Entry 3:
An optimized crystal structure of LiPrEuY. Source: Alexandria via LeMat-Bulk, functional PBE-GGA.

Properties
Its calculated total energy is -5.652 eV per atom. The calculation puts the formation energy at 0.206 eV per atom.

Geometry as CIF:
```
data_LiPrEuY
_cell_length_a 8.016
_cell_length_b 8.016
_cell_length_c 8.016
_cell_angle_alpha 90.00
_cell_angle_beta 90.00
_cell_angle_gamma 90.00
_symmetry_space_group_name_H-M 'F -4 3 m'
_symmetry_Int_Tables_number 216
_symmetry_space_group_name_Hall 'F -4 2 3'
loop_
_atom_site_label
_atom_site_type_symbol
_atom_site_fract_x
_atom_site_fract_y
_atom_site_fract_z
Li1 Li 0.000 0.000 0.000
Pr1 Pr 0.250 0.250 0.750
Eu1 Eu 0.000 0.000 0.500
Y1 Y 0.250 0.250 0.250
```

Entry 4:
An optimized crystal structure of LiPrEuZn. Source: Alexandria via LeMat-Bulk, functional PBE-GGA.

Properties
Its calculated total energy is -4.642 eV per atom. The calculation puts the formation energy at -0.082 eV per atom.

Geometry as CIF:
```
data_LiPrEuZn
_cell_length_a 7.581
_cell_length_b 7.581
_cell_length_c 7.581
_cell_angle_alpha 90.00
_cell_angle_beta 90.00
_cell_angle_gamma 90.00
_symmetry_space_group_name_H-M 'F -4 3 m'
_symmetry_Int_Tables_number 216
_symmetry_space_group_name_Hall 'F -4 2 3'
loop_
_atom_site_label
_atom_site_type_symbol
_atom_site_fract_x
_atom_site_fract_y
_atom_site_fract_z
Li1 Li 0.000 0.000 0.000
Pr1 Pr 0.250 0.250 0.750
Eu1 Eu 0.250 0.250 0.250
Zn1 Zn 0.000 0.000 0.500
```

Question: The highest calculated total energy belongs to which entry?
Answer: SrLiPrEu

Question: Which value of calculated total energy does entry 4 give?
Answer: -4.642 eV per atom

Question: Which value of calculated total energy does entry 2 give?
Answer: -5.032 eV per atom

Question: Among the records above, which one has the lowest calculated total energy?
Answer: LiPrEuY